# 1
VASP calculation (PBE) on a geometry-optimized SrTcTe2N structure.

Summary:
The calculation puts the energy above the most stable polymorph in this dataset at 0.0 meV/atom. As for the space group: P4/mmm, No. 123. As for the density of states at the Fermi level: 3.08 states/eV per cell. The value obtained for the uncorrected formation energy is -0.363 eV per atom.

```
SrTcTe2N
1.0
5.671 0.000 0.000
0.000 5.671 0.000
0.000 0.000 3.791
Sr Tc Te N
1 1 2 1
Direct
0.000 0.000 0.000
0.500 0.500 0.500
0.000 0.500 0.500
0.500 0.000 0.500
0.500 0.500 0.000
```

---

# 2
VASP calculation (PBE) on a geometry-optimized SrTh2TcN5 structure.

Summary:
As for the space group: I4/mcm, No. 140. As for the density of states at the Fermi level: 8.29 states/eV per cell. The value obtained for the uncorrected formation energy is -1.054 eV per atom.

```
SrTh2TcN5
1.0
-3.461 3.461 5.805
3.461 -3.461 5.805
3.461 3.461 -5.805
Sr Th Tc N
2 4 2 10
Direct
0.250 0.250 0.000
0.750 0.750 0.000
0.182 0.682 0.863
0.318 0.182 0.500
0.682 0.818 0.500
0.818 0.318 0.137
0.250 0.750 0.500
0.750 0.250 0.500
0.000 0.000 0.000
0.002 0.218 0.500
0.218 0.718 0.216
0.282 0.498 0.500
0.498 0.998 0.216
0.500 0.500 0.000
0.502 0.002 0.784
0.718 0.502 0.500
0.782 0.282 0.784
0.998 0.782 0.500
```

---

# 3
VASP calculation (PBE) on a geometry-optimized SrThTcN4 structure.

Summary:
As for the space group: P2_1/m, No. 11. As for the density of states at the Fermi level: 6.78 states/eV per cell. The value obtained for the uncorrected formation energy is -0.769 eV per atom.

```
SrThTcN4
1.0
6.149 0.000 0.000
0.000 5.809 0.000
-1.981 0.000 6.846
Sr Th Tc N
2 2 2 8
Direct
0.216 0.250 0.422
0.784 0.750 0.578
0.298 0.250 0.946
0.702 0.750 0.054
0.239 0.750 0.179
0.761 0.250 0.821
0.051 0.750 0.339
0.057 0.750 0.932
0.456 0.509 0.207
0.456 0.991 0.207
0.544 0.009 0.793
0.544 0.491 0.793
0.943 0.250 0.068
0.949 0.250 0.661
```

---

# 4
VASP calculation (PBE) on a geometry-optimized Sr4Th3TcN8 structure.

Summary:
As for the space group: R-3m, No. 166. As for the density of states at the Fermi level: 3.61 states/eV per cell. The value obtained for the uncorrected formation energy is -0.955 eV per atom.

```
Sr4Th3TcN8
1.0
3.611 2.085 6.030
-3.611 2.085 6.030
0.000 -4.169 6.030
Sr Th Tc N
4 3 1 8
Direct
0.000 0.000 0.000
0.000 0.500 0.500
0.500 0.000 0.500
0.500 0.500 0.000
0.000 0.000 0.500
0.000 0.500 0.000
0.500 0.000 0.000
0.500 0.500 0.500
0.237 0.237 0.237
0.252 0.727 0.727
0.273 0.273 0.748
0.273 0.748 0.273
0.727 0.252 0.727
0.727 0.727 0.252
0.748 0.273 0.273
0.763 0.763 0.763
```

---

# 5
VASP calculation (PBE) on a geometry-optimized SrTiTcN2 structure.

Summary:
As for the space group: P4/mmm, No. 123. As for the density of states at the Fermi level: 5.15 states/eV per cell. The value obtained for the uncorrected formation energy is 0.697 eV per atom.

```
SrTiTcN2
1.0
4.177 0.000 0.000
0.000 4.177 0.000
0.000 0.000 4.650
Sr Ti Tc N
1 1 1 2
Direct
0.000 0.000 0.000
0.500 0.500 0.500
0.500 0.500 0.000
0.000 0.500 0.500
0.500 0.000 0.500
```

---

# 6
VASP calculation (PBE) on a geometry-optimized Sr2UTcN5 structure.

Summary:
As for the space group: Cmc2_1, No. 36. As for the density of states at the Fermi level: 2.83 states/eV per cell. The value obtained for the uncorrected formation energy is -0.845 eV per atom.

```
Sr2UTcN5
1.0
1.764 -6.903 0.000
1.764 6.903 0.000
0.000 0.000 11.246
Sr U Tc N
4 2 2 10
Direct
0.104 0.896 0.500
0.146 0.854 0.134
0.854 0.146 0.634
0.896 0.104 0.000
0.208 0.792 0.841
0.792 0.208 0.341
0.480 0.520 0.274
0.520 0.480 0.774
0.040 0.960 0.850
0.286 0.714 0.460
0.317 0.683 0.228
0.364 0.636 0.821
0.494 0.506 0.621
0.506 0.494 0.121
0.636 0.364 0.321
0.683 0.317 0.728
0.714 0.286 0.960
0.960 0.040 0.350
```

---

# 7
VASP calculation (PBE) on a geometry-optimized Sr2UTc2N6 structure.

Summary:
As for the space group: R-3m, No. 166. As for the density of states at the Fermi level: 1.45 states/eV per cell. The value obtained for the uncorrected formation energy is -0.667 eV per atom.

```
Sr2UTc2N6
1.0
3.052 1.762 5.748
-3.052 1.762 5.748
0.000 -3.524 5.748
Sr U Tc N
2 1 2 6
Direct
0.213 0.213 0.213
0.787 0.787 0.787
0.000 0.000 0.000
0.433 0.433 0.433
0.567 0.567 0.567
0.239 0.239 0.756
0.239 0.756 0.239
0.244 0.761 0.761
0.756 0.239 0.239
0.761 0.244 0.761
0.761 0.761 0.244
```

---

# 8
VASP calculation (PBE) on a geometry-optimized Sr2TcWN5 structure.

Summary:
As for the space group: Cmc2_1, No. 36. The value obtained for the uncorrected formation energy is -0.551 eV per atom.

```
Sr2TcWN5
1.0
1.682 -7.445 0.000
1.682 7.445 0.000
0.000 0.000 10.560
Sr Tc W N
4 2 2 10
Direct
0.122 0.878 0.500
0.134 0.866 0.103
0.866 0.134 0.603
0.878 0.122 0.000
0.226 0.774 0.828
0.774 0.226 0.328
0.440 0.560 0.269
0.560 0.440 0.769
0.036 0.964 0.852
0.296 0.704 0.443
0.319 0.681 0.201
0.342 0.658 0.815
0.498 0.502 0.119
0.502 0.498 0.619
0.658 0.342 0.315
0.681 0.319 0.701
0.704 0.296 0.943
0.964 0.036 0.352
```